Crystalline Ba2TaGaS6 at its relaxed geometry, computed with PBE.

Summary:
The crystal system is cubic. The value obtained for the uncorrected energy is -5.581 eV/atom.

Cell lengths 9.764, 9.764, 9.764 Å; angles 90.00, 90.00, 90.00 degrees
Space group Fm-3m (No. 225)
Unique sites:
1 Ba 0.250 0.250 0.250
2 Ta 0.000 0.000 0.000
3 Ga 0.000 0.000 0.500
4 S 0.000 0.000 0.250